Entry 1:
A relaxed structure of BeCo2Tc. Source: the Alexandria database, functional PBEsol.

## Properties
* ΔE_f: 0.041 eV per atom
* offset from the most stable computed form: 248 meV per atom
* DFT total energy: -30.6 eV per formula unit
* space group: No. 65
* DOS at the Fermi energy: 4.23 states/eV/cell

```
BeCo2Tc
1.0
-2.5114 -0.1801 0.2649
-0.2194 -2.1971 -3.5733
0.5265 -2.7926 3.0933
Be Co Tc
1 2 1
Direct
0.5000 0.5000 0.5000
0.0000 0.5000 0.0000
0.0000 0.0000 0.5000
0.5000 0.0000 0.0000
```

Entry 2:
A relaxed structure of NdSiIr. Source: the Alexandria database, functional PBEsol.

## Properties
* uncorrected formation energy: -0.94 eV per atom
* DFT total energy: -23.6 eV per formula unit
* space group: No. 198
* DOS at the Fermi energy: 3.96 states/eV/cell

```
NdSiIr
1.0
-2.0107 -5.8573 -1.0932
4.6919 -2.2676 3.5199
-3.6727 0.3098 5.0952
Si Ir Nd
4 4 4
Direct
0.6644 0.8356 0.1644
0.1644 0.6644 0.8356
0.8356 0.1644 0.6644
0.3356 0.3356 0.3356
0.0671 0.4329 0.5671
0.5671 0.0671 0.4329
0.9329 0.9329 0.9329
0.4329 0.5671 0.0671
0.1223 0.8777 0.3777
0.8777 0.3777 0.1223
0.6223 0.6223 0.6223
0.3777 0.1223 0.8777
```

Entry 3:
A relaxed structure of CaHfScPd2. Source: the Alexandria database, functional PBEsol.

## Properties
* ΔE_f: 0.382 eV per atom
* DFT total energy: -29.2 eV per formula unit
* space group: No. 123
* DOS at the Fermi energy: 2.77 states/eV/cell

```
CaHfScPd2
1.0
4.8043 0.0000 0.0000
0.0000 4.8043 0.0000
0.0000 0.0000 4.9626
Sc Ca Hf Pd
1 1 1 2
Direct
0.0000 0.0000 0.0000
0.5000 0.5000 0.5000
0.0000 0.0000 0.5000
0.0000 0.5000 0.0000
0.5000 0.0000 0.0000
```

Entry 4:
A relaxed structure of HoNi2. Source: the Alexandria database, functional PBEsol.

## Properties
* ΔE_f: -0.490 eV per atom
* DFT total energy: -18.7 eV per formula unit
* space group: No. 227
* DOS at the Fermi energy: 2.95 states/eV/cell

```
HoNi2
1.0
-0.3575 2.3639 4.3454
3.4548 -0.6912 3.4906
3.1719 3.6486 1.1065
Ho Ni
2 4
Direct
0.2500 0.2500 0.2500
0.0000 0.0000 0.0000
0.6250 0.1250 0.6250
0.6250 0.6250 0.1250
0.1250 0.6250 0.6250
0.6250 0.6250 0.6250
```

Entry 5:
A relaxed structure of KSi2HO5. Source: the Alexandria database, functional PBEsol.

## Properties
* DFT total energy: -64.0 eV per formula unit
* space group: No. 12
* DOS at the Fermi energy: 0.00 states/eV/cell

```
KSi2HO5
1.0
-6.9612 0.1932 4.6067
-1.9636 -6.5202 4.8732
1.1179 1.6417 9.1874
K Si H O
4 8 4 20
Direct
0.0000 0.0000 0.0000
0.0000 0.5000 0.5000
0.3221 0.3352 0.0206
0.6779 0.6648 0.9794
0.8810 0.2829 0.3266
0.5095 0.2829 0.3266
0.1190 0.7171 0.6734
0.4905 0.7171 0.6734
0.2200 0.8929 0.2909
0.5962 0.8929 0.2909
0.7800 0.1071 0.7091
0.4038 0.1071 0.7091
0.3222 0.6098 0.2006
0.8675 0.6098 0.2006
0.6778 0.3902 0.7994
0.1325 0.3902 0.7994
0.9659 0.4449 0.2350
0.3542 0.4449 0.2350
0.0341 0.5551 0.7650
0.6458 0.5551 0.7650
0.2891 0.7776 0.1599
0.7734 0.7776 0.1599
0.7109 0.2224 0.8401
0.2266 0.2224 0.8401
0.0313 0.0886 0.2610
0.6191 0.0886 0.2610
0.9687 0.9114 0.7390
0.3809 0.9114 0.7390
0.8434 0.2332 0.5235
0.4000 0.2332 0.5235
0.1566 0.7668 0.4765
0.6000 0.7668 0.4765
0.3828 0.9614 0.2729
0.6172 0.0386 0.7271
0.6786 0.3527 0.2901
0.3214 0.6473 0.7099
```

Entry 6:
A relaxed structure of Na5V12O32. Source: the Alexandria database, functional PBEsol.

## Properties
* uncorrected formation energy: -2.32 eV per atom
* DFT total energy: -404.3 eV per formula unit
* space group: No. 8
* DOS at the Fermi energy: 5.59 states/eV/cell

```
Na5V12O32
1.0
-3.7681 5.9219 -1.4712
-0.0436 -5.8203 -5.8364
-8.3645 -3.3159 8.0763
Na V O
5 12 32
Direct
0.8775 0.7550 0.6732
0.3764 0.7527 0.6778
0.6212 0.7449 0.3269
0.1237 0.7449 0.3269
0.9070 0.8140 0.0546
0.6630 0.3259 0.8086
0.1655 0.3310 0.8118
0.4431 0.3867 0.4587
0.9436 0.3867 0.4587
0.7141 0.4282 0.0831
0.2169 0.4339 0.0830
0.2847 0.0685 0.9152
0.7839 0.0685 0.9152
0.0571 0.1142 0.5430
0.5570 0.1140 0.5419
0.3377 0.1749 0.1902
0.8372 0.1749 0.1902
0.3849 0.2692 0.8289
0.8844 0.2692 0.8289
0.7514 0.5028 0.9586
0.2531 0.5062 0.9586
0.1542 0.3084 0.4595
0.6540 0.3079 0.4592
0.2339 0.4679 0.7313
0.7344 0.4688 0.7322
0.9541 0.4098 0.3216
0.4557 0.4098 0.3216
0.0512 0.6017 0.5466
0.5505 0.6017 0.5466
0.4298 0.3593 0.0725
0.9295 0.3593 0.0725
0.6893 0.8727 0.8091
0.1834 0.8727 0.8091
0.8155 0.6310 0.1867
0.3140 0.6280 0.1908
0.5705 0.1409 0.9283
0.0708 0.1416 0.9282
0.9497 0.8994 0.4544
0.4499 0.8998 0.4531
0.0453 0.0905 0.6792
0.5447 0.0894 0.6787
0.2578 0.0285 0.2648
0.7707 0.0285 0.2648
0.3465 0.1926 0.5412
0.8461 0.1926 0.5412
0.7502 0.9959 0.0409
0.2457 0.9959 0.0409
0.6155 0.2309 0.1705
0.1156 0.2311 0.1707
```

Entry 7:
A relaxed structure of GePtSCl2. Source: the Alexandria database, functional PBEsol.

## Properties
* uncorrected formation energy: 0.45 eV per atom
* DFT total energy: -18.0 eV per formula unit
* space group: No. 123
* DOS at the Fermi energy: 1.86 states/eV/cell

```
GePtSCl2
1.0
-0.6527 -4.5556 0.1420
3.0676 -0.3297 3.5243
-3.4769 0.5942 3.0818
Ge S Pt Cl
1 1 1 2
Direct
0.5000 0.5000 0.5000
0.0000 0.0000 0.0000
0.5000 0.0000 0.0000
0.0000 0.0000 0.5000
0.0000 0.5000 0.0000
```

Entry 8:
A relaxed structure of ZrCo2Au2. Source: the Alexandria database, functional PBEsol.

## Properties
* ΔE_f: 0.008 eV per atom
* DFT total energy: -32.4 eV per formula unit
* space group: No. 139
* DOS at the Fermi energy: 4.10 states/eV/cell

```
ZrCo2Au2
1.0
-0.2572 3.2062 1.9588
-1.9681 -1.7874 2.6673
5.8682 -1.9598 0.3580
Co Au Zr
2 2 1
Direct
0.4072 0.4072 0.8144
0.5928 0.5928 0.1856
0.2500 0.7500 0.5000
0.7500 0.2500 0.5000
0.0000 0.0000 0.0000
```

Entry 9:
A relaxed structure of Cr3HgO. Source: the Alexandria database, functional PBEsol.

## Properties
* uncorrected formation energy: 2.05 eV per atom
* DFT total energy: -26.3 eV per formula unit
* space group: No. 221
* DOS at the Fermi energy: 8.31 states/eV/cell

```
Cr3HgO
1.0
5.0361 0.0000 0.0000
0.0000 5.0361 0.0000
0.0000 0.0000 5.0361
Cr Hg O
3 1 1
Direct
0.0000 0.5000 0.0000
0.0000 0.0000 0.5000
0.5000 0.0000 0.0000
0.0000 0.0000 0.0000
0.5000 0.5000 0.5000
```

Entry 10:
A relaxed structure of Te2PdCl. Source: the Alexandria database, functional PBEsol.

## Properties
* uncorrected formation energy: -0.35 eV per atom
* DFT total energy: -16.4 eV per formula unit
* space group: No. 166
* DOS at the Fermi energy: 1.35 states/eV/cell

```
Te2PdCl
1.0
-3.8057 0.8057 1.2415
-2.1927 -2.8923 1.8709
0.8085 1.7266 8.0729
Te Pd Cl
2 1 1
Direct
0.8873 0.8873 0.3380
0.1127 0.1127 0.6620
0.5000 0.5000 0.5000
0.0000 0.0000 0.0000
```

Entry 11:
A relaxed structure of Zr3Zn. Source: the Alexandria database, functional PBEsol.

## Properties
* ΔE_f: -0.094 eV per atom
* DFT total energy: -29.2 eV per formula unit
* space group: No. 59
* DOS at the Fermi energy: 7.91 states/eV/cell

```
Zr3Zn
1.0
5.0126 0.0000 0.0000
0.0000 5.3399 0.0000
0.0000 0.0000 5.9381
Zn Zr
2 6
Direct
0.0000 0.6659 0.0000
0.5000 0.3341 0.5000
0.5000 0.3598 0.0000
0.0000 0.1570 0.7493
0.5000 0.8430 0.7507
0.0000 0.6402 0.5000
0.0000 0.1570 0.2507
0.5000 0.8430 0.2493
```

Entry 12:
A relaxed structure of In2AgHg. Source: the Alexandria database, functional PBEsol.

## Properties
* ΔE_f: 0.007 eV per atom
* DFT total energy: -9.8 eV per formula unit
* space group: No. 99
* DOS at the Fermi energy: 1.38 states/eV/cell

```
In2AgHg
1.0
-2.8138 -0.9066 -1.2013
1.2144 0.1453 -2.9473
2.3999 -8.2217 0.5834
Hg Ag In
1 1 2
Direct
0.5000 0.5000 0.2758
0.0000 0.0000 0.4977
0.0000 0.0000 0.0082
0.5000 0.5000 0.7186
```

- Which of these has the highest DFT total energy?
  In2AgHg

What did the eighth record say?
A relaxed structure of ZrCo2Au2. Source: the Alexandria database, functional PBEsol.

## Properties
* ΔE_f: 0.008 eV per atom
* DFT total energy: -32.4 eV per formula unit
* space group: No. 139
* DOS at the Fermi energy: 4.10 states/eV/cell

```
ZrCo2Au2
1.0
-0.2572 3.2062 1.9588
-1.9681 -1.7874 2.6673
5.8682 -1.9598 0.3580
Co Au Zr
2 2 1
Direct
0.4072 0.4072 0.8144
0.5928 0.5928 0.1856
0.2500 0.7500 0.5000
0.7500 0.2500 0.5000
0.0000 0.0000 0.0000
```